(1)
Ce2TaTl: optimized geometry, GGA-PBE.

Cell: 11.7500 11.7500 11.7500 Å, 15.25 15.25 15.25°
Last column: nearest neighbours and their distance in Å.
Fractional positions:
Ce 0.0815 0.0815 0.0815  1 Ta 2.84, 6 Ce 3.12
Ce 0.9185 0.9185 0.9185  1 Ta 2.84, 6 Ce 3.12
Ta 0.0000 0.0000 0.0000  2 Ce 2.84, 6 Ta 3.12
Tl 0.5000 0.5000 0.5000  6 Tl 3.12, 6 Ce 3.47

Results
- magnetic moment (μB/atom) = 0.000
- crystal system = trigonal
- DOS at the Fermi energy (states/eV per cell) = 8.65
- calculated volume (Å³/cell) = 97.8
- space group = R-3m (166)
- formation enthalpy at 0 K (eV per atom) = 0.362

(2)
Ce2TmTa: optimized geometry, GGA-PBE.

Cell: 12.0073 12.0073 12.0073 Å, 14.91 14.91 14.91°
Last column: nearest neighbours and their distance in Å.
Fractional positions:
Ce 0.0798 0.0798 0.0798  1 Ta 2.84, 6 Ce 3.12
Ce 0.9202 0.9202 0.9202  1 Ta 2.84, 6 Ce 3.12
Tm 0.5000 0.5000 0.5000  6 Tm 3.12
Ta 0.0000 0.0000 0.0000  2 Ce 2.84, 6 Ta 3.12

Results
- magnetic moment (μB/atom) = 0.000
- crystal system = trigonal
- DOS at the Fermi energy (states/eV per cell) = 9.35
- calculated volume (Å³/cell) = 99.9
- space group = R-3m (166)
- formation enthalpy at 0 K (eV per atom) = 0.477

(3)
Ce2TaZn: optimized geometry, GGA-PBE.

Cell: 11.3348 11.3348 11.3348 Å, 15.15 15.15 15.15°
Last column: nearest neighbours and their distance in Å.
Fractional positions:
Ce 0.0862 0.0862 0.0862  1 Ta 2.90, 6 Ce 2.99, 3 Zn 3.21
Ce 0.9138 0.9138 0.9138  1 Ta 2.90, 6 Ce 2.99, 3 Zn 3.21
Ta 0.0000 0.0000 0.0000  2 Ce 2.90, 6 Ta 2.99
Zn 0.5000 0.5000 0.5000  6 Zn 2.99, 6 Ce 3.21

Results
- magnetic moment (μB/atom) = 0.000
- crystal system = trigonal
- DOS at the Fermi energy (states/eV per cell) = 7.17
- calculated volume (Å³/cell) = 86.6
- space group = R-3m (166)
- formation enthalpy at 0 K (eV per atom) = 0.315